[1]
Here is LiCoSe after structural relaxation from Alexandria. Energies are from PBE-GGA.

Results
As for the energy above the lowest structure with this stoichiometry: 0.1616 eV/atom. The calculation puts the total DFT energy (no corrections) at -4.54 eV per atom. The formation energy (no corrections) is -0.3715 eV per atom.

Cell: 5.7185 5.7185 5.7185 Å, 90.00 90.00 90.00°
With the nearest neighbours (Å) after each atom.
Space group F-43m (No. 216)
One atom of each set of equivalent atoms:
Li: 0.0000 0.0000 0.0000 [4 per cell]  4 Se 2.48
Co: 0.0000 0.0000 0.5000 [4 per cell]  4 Se 2.48
Se: 0.2500 0.2500 0.2500 [4 per cell]  4 Li 2.48, 4 Co 2.48

***

[2]
Here is ErTm2Hg5 after structural relaxation from Alexandria. Energies are from PBE-GGA.

Results
The calculation puts the total DFT energy (no corrections) at -2.28 eV per atom. The formation energy from the elements comes out at -0.400 eV/atom.

Cell: 5.1603 5.1603 14.4638 Å, 90.00 90.00 90.00°
With the nearest neighbours (Å) after each atom.
Space group I4/mmm (No. 139)
One atom of each set of equivalent atoms:
Er: 0.0000 0.0000 0.0000 [2 per cell]  8 Hg 3.16
Tm: 0.0000 0.0000 0.2624 [4 per cell]  8 Hg 3.04-3.25
Hg: 0.0000 0.0000 0.5000 [2 per cell]  8 Hg 3.16, 2 Tm 3.44
Hg: 0.0000 0.5000 0.1260 [8 per cell]  4 Tm 3.04-3.25, 2 Hg 3.16, 2 Er 3.16

***

[3]
Here is KCu4Br6 after structural relaxation from Alexandria. Energies are from PBE-GGA.

Results
The calculation puts the total DFT energy (no corrections) at -2.83 eV per atom. The formation energy (no corrections) is -0.3261 eV per atom.

Cell: 6.9081 6.9081 10.7879 Å, 90.00 90.00 90.00°
With the nearest neighbours (Å) after each atom.
Space group I-42m (No. 121)
One atom of each set of equivalent atoms:
K: 0.0000 0.0000 0.0000 [2 per cell]  8 Br 3.45-3.46, 4 Cu 3.75
Cu: 0.1339 0.1339 0.6039 [8 per cell]  3 Br 2.55-2.60, 1 Cu 2.62
Br: 0.0000 0.5000 0.0000 [4 per cell]  4 Cu 2.92
Br: 0.1798 0.1798 0.2758 [8 per cell]  3 Cu 2.55-2.60

***

[4]
Here is FeReIr2 after structural relaxation from Alexandria. Energies are from PBE-GGA.

Results
As for the energy above the lowest structure with this stoichiometry: 0.4153 eV/atom. The calculation puts the total DFT energy (no corrections) at -9.39 eV per atom. The formation energy from the elements comes out at 0.272 eV/atom.

Cell: 2.7680 4.5209 4.5940 Å, 90.00 90.00 90.00°
With the nearest neighbours (Å) after each atom.
Space group Pmmm (No. 47)
One atom of each set of equivalent atoms:
Fe: 0.0000 0.0000 0.0000 [1 per cell]  4 Ir 2.65, 4 Re 2.68, 2 Fe 2.77
Re: 0.5000 0.0000 0.5000 [1 per cell]  4 Ir 2.65, 4 Fe 2.68, 2 Re 2.77
Ir: 0.0000 0.5000 0.5000 [1 per cell]  4 Re 2.65, 6 Ir 2.68-2.77
Ir: 0.5000 0.5000 0.0000 [1 per cell]  4 Fe 2.65, 6 Ir 2.68-2.77

***

[5]
Here is Ti3AlH2 after structural relaxation from Alexandria. Energies are from PBE-GGA.

Results
As for the energy above the lowest structure with this stoichiometry: 0.1746 eV/atom. The calculation puts the total DFT energy (no corrections) at -5.89 eV per atom.

Cell: 21.0574 2.7884 5.1780 Å, 90.00 103.06 90.00°
With the nearest neighbours (Å) after each atom.
Space group C2/m (No. 12)
One atom of each set of equivalent atoms:
Ti: 0.0301 0.0000 0.2664 [4 per cell]  2 H 1.89-1.93
Ti: 0.1023 0.5000 0.8456 [4 per cell]  3 H 1.90-1.99
Ti: 0.2384 0.0000 0.7512 [4 per cell]  3 H 1.91-1.92
Al: 0.1456 0.5000 0.3820 [4 per cell]  7 Ti 2.68-2.78, 4 H 2.73-2.99, 2 Al 2.79
H: 0.0525 0.0000 0.6490 [4 per cell]  4 Ti 1.89-1.93
H: 0.1992 0.5000 0.9148 [4 per cell]  4 Ti 1.91-1.99

***

[6]
Here is NiAsCSe2 after structural relaxation from Alexandria. Energies are from PBE-GGA.

Results
As for the energy above the lowest structure with this stoichiometry: 0.0000 eV/atom. The calculation puts the total DFT energy (no corrections) at -4.08 eV per atom. The formation energy (no corrections) is 1.2456 eV per atom.

Cell: 4.3752 4.3752 4.2016 Å, 90.00 90.00 90.00°
With the nearest neighbours (Å) after each atom.
Space group P4/mmm (No. 123)
One atom of each set of equivalent atoms:
Ni: 0.0000 0.0000 0.0000 [1 per cell]  8 Se 3.03, 4 As 3.09
As: 0.5000 0.5000 0.0000 [1 per cell]  2 C 2.10
C: 0.5000 0.5000 0.5000 [1 per cell]  2 As 2.10, 4 Se 2.19
Se: 0.0000 0.5000 0.5000 [2 per cell]  2 C 2.19

***

[7]
Here is Pm2BiTe5 after structural relaxation from Alexandria. Energies are from PBE-GGA.

Results
The calculation puts the total DFT energy (no corrections) at -4.45 eV per atom. The formation energy (no corrections) is -0.8172 eV per atom.

Cell: 6.2669 15.6280 13.9915 Å, 90.00 90.00 90.00°
With the nearest neighbours (Å) after each atom.
Space group Cmcm (No. 63)
One atom of each set of equivalent atoms:
Pm: 0.0000 0.1621 0.0598 [8 per cell]  6 Te 3.14-3.15
Bi: 0.0000 0.1920 0.7500 [4 per cell]  6 Te 3.14-3.19
Te: 0.0000 0.0331 0.6118 [8 per cell]  2 Pm 3.14, 1 Bi 3.15, 1 Te 3.29
Te: 0.0000 0.2684 0.2500 [4 per cell]  2 Pm 3.14, 2 Bi 3.19
Te: 0.0000 0.3209 0.5779 [8 per cell]  1 Bi 3.14, 3 Pm 3.14-3.15

***

[8]
Here is Cs3TeSe4 after structural relaxation from Alexandria. Energies are from PBE-GGA.

Results
As for the energy above the lowest structure with this stoichiometry: 0.0000 eV/atom. The calculation puts the total DFT energy (no corrections) at -3.24 eV per atom. The formation energy (no corrections) is -0.7890 eV per atom.

Cell: 10.2536 12.1785 11.0550 Å, 90.00 90.00 90.00°
With the nearest neighbours (Å) after each atom.
Space group Pnma (No. 62)
One atom of each set of equivalent atoms:
Cs: 0.0648 0.0436 0.1903 [8 per cell]  7 Se 3.65-4.07
Cs: 0.1542 0.7500 0.4235 [4 per cell]  7 Se 3.63-3.95
Te: 0.2428 0.7500 0.9828 [4 per cell]  2 Se 2.53-2.60
Se: 0.0165 0.7500 0.0895 [4 per cell]  1 Te 2.60
Se: 0.1060 0.0552 0.5190 [8 per cell]  1 Se 2.59, 1 Te 2.86
Se: 0.1877 0.7500 0.7595 [4 per cell]  1 Te 2.53